Record 1
This record from Alexandria via LeMat-Bulk describes a relaxed structure of NaPm2Er3Te6. The functional is PBE.

Geometry as POSCAR:
```
NaPm2Er3Te6
1.0
9.646 -2.181 0.000
9.646 2.181 0.000
-2.150 0.000 8.617
Na Pm Er Te
1 2 3 6
Cartesian
0.000 0.000 0.000
4.922 0.000 5.630
12.220 0.000 2.988
-1.075 0.000 4.309
6.065 0.000 1.477
11.077 0.000 7.140
1.843 0.000 5.102
3.087 0.000 0.666
9.083 0.000 2.198
8.058 0.000 6.419
14.055 0.000 7.951
15.299 0.000 3.516
```

Summary:
E_form (uncorrected)   -1319 meV/atom
Space-group type   C2/m, No. 12
V   30.21 A^3/atom
Raw total energy   -4.932 eV/atom

---

Record 2
This record from Alexandria via LeMat-Bulk describes a relaxed structure of BeAsIr2. The functional is PBE.

Geometry as POSCAR:
```
BeAsIr2
1.0
-1.446 2.348 4.058
1.446 -2.348 4.058
1.446 2.348 -4.058
Be As Ir
1 1 2
Cartesian
0.000 0.000 0.000
0.000 0.000 4.058
1.446 0.000 1.796
0.000 2.348 2.261
```

Summary:
Relative energy among the computed polymorphs   191 meV per atom
Space-group type   Immm, No. 71
Energy of formation   28 meV/atom
V   13.78 A^3/atom
Raw total energy   -6.497 eV/atom

---

Record 3
This record from Alexandria via LeMat-Bulk describes a relaxed structure of Cd2SbPtO6. The functional is PBE.

Geometry as POSCAR:
```
Cd2SbPtO6
1.0
5.649 0.000 0.000
0.000 5.649 0.000
0.000 0.000 4.284
Cd Sb Pt O
2 1 1 6
Cartesian
0.000 2.824 0.000
2.824 0.000 0.000
0.000 0.000 2.508
2.824 2.824 2.656
0.000 0.000 0.552
1.397 1.397 2.943
1.397 4.252 2.943
2.824 2.824 0.544
4.252 1.397 2.943
4.252 4.252 2.943
```

Summary:
E_form (uncorrected)   -697 meV/atom
Space-group type   P4mm, No. 99
V   13.67 A^3/atom
Raw total energy   -4.871 eV/atom

---

Record 4
This record from Alexandria via LeMat-Bulk describes a relaxed structure of LiZrPb2Au. The functional is PBE.

Geometry as POSCAR:
```
LiZrPb2Au
1.0
5.649 0.000 0.000
0.000 5.649 0.000
0.000 0.000 5.330
Li Zr Pb Au
1 1 2 1
Cartesian
0.000 0.000 0.000
2.825 2.825 2.665
0.000 2.825 2.665
2.825 0.000 2.665
2.825 2.825 0.000
```

Summary:
Relative energy among the computed polymorphs   0 meV per atom
Space-group type   P4/mmm, No. 123
Energy of formation   333 meV/atom
V   34.02 A^3/atom
Raw total energy   -3.898 eV/atom

---

Record 5
This record from Alexandria via LeMat-Bulk describes a relaxed structure of SiSeO2. The functional is PBE.

Geometry as POSCAR:
```
SiSeO2
1.0
0.000 3.774 3.774
3.774 0.000 3.774
3.774 3.774 0.000
Si Se O
2 2 4
Cartesian
0.944 0.944 0.944
6.605 6.605 6.605
2.831 2.831 2.831
4.718 4.718 4.718
0.000 0.000 0.000
1.887 1.887 0.000
1.887 0.000 1.887
0.000 1.887 1.887
```

Summary:
E_form (uncorrected)   -1510 meV/atom
Relative energy among the computed polymorphs   162 meV per atom
Space-group type   Fd-3m, No. 227
V   13.44 A^3/atom
Raw total energy   -6.216 eV/atom

---

Record 6
This record from Alexandria via LeMat-Bulk describes a relaxed structure of Ba2TbZrS6. The functional is PBE.

Geometry as POSCAR:
```
Ba2TbZrS6
1.0
7.309 0.000 0.000
0.000 10.344 0.000
0.000 0.000 7.327
Ba Tb Zr S
4 2 2 12
Cartesian
1.827 0.015 1.777
1.827 5.157 1.777
5.481 5.187 5.550
5.481 10.329 5.550
1.827 2.586 5.489
5.481 7.758 1.838
1.827 7.758 5.491
5.481 2.586 1.836
0.042 7.758 3.717
0.044 7.758 7.286
1.827 5.236 5.543
1.827 10.281 5.543
3.612 7.758 3.717
3.611 7.758 7.286
3.698 2.586 0.041
3.696 2.586 3.611
5.481 0.063 1.784
5.481 5.109 1.784
7.265 2.586 0.041
7.267 2.586 3.611
```

Summary:
E_form (uncorrected)   -1730 meV/atom
Space-group type   Pmmn, No. 59
V   27.70 A^3/atom
Raw total energy   -5.909 eV/atom